1.
Here is a relaxed structure of CdH from Alexandria. Energies are from PBE.

For the total energy, the calculation gives -1.552 eV per atom. For the energy above the most stable polymorph in this dataset, the calculation gives 448.6 meV/atom. As for the volume: 39 Å³/f.u.

```
data_CdH
_chemical_formula_sum 'Cd6 H6'
_symmetry_space_group_name_H-M 'P m -3 n'
_symmetry_Int_Tables_number 223
_symmetry_space_group_name_Hall '-P 4n 2 3'
_cell_length_a 6.1523
_cell_length_b 6.1523
_cell_length_c 6.1523
_cell_angle_alpha 90.00
_cell_angle_beta 90.00
_cell_angle_gamma 90.00
loop_
_atom_site_label
_atom_site_type_symbol
_atom_site_fract_x
_atom_site_fract_y
_atom_site_fract_z
Cd1 Cd 0.0000 0.2500 0.5000
H1 H 0.0000 0.5000 0.2500
```



2.
Here is a relaxed structure of TmGa2CuPd4 from Alexandria. Energies are from PBE.

For the total energy, the calculation gives -5.065 eV per atom. The energy of formation comes out at -0.641 eV per atom. As for the volume: 130 Å³/f.u.

```
data_TmGa2CuPd4
_chemical_formula_sum 'Tm3 Ga6 Cu3 Pd12'
_symmetry_space_group_name_H-M 'R -3 m'
_symmetry_Int_Tables_number 166
_symmetry_space_group_name_Hall '-R 3 2"'
_cell_length_a 4.3972
_cell_length_b 4.3972
_cell_length_c 23.2424
_cell_angle_alpha 90.00
_cell_angle_beta 90.00
_cell_angle_gamma 120.00
loop_
_atom_site_label
_atom_site_type_symbol
_atom_site_fract_x
_atom_site_fract_y
_atom_site_fract_z
Tm1 Tm 0.0000 0.0000 0.0000
Ga1 Ga 0.0000 0.0000 0.2426
Cu1 Cu 0.0000 0.0000 0.5000
Pd1 Pd 0.0000 0.0000 0.1266
Pd2 Pd 0.0000 0.0000 0.3912
```



3.
Here is a relaxed structure of Li2HoPd5 from Alexandria. Energies are from PBE.

For the total energy, the calculation gives -4.947 eV per atom. The energy of formation comes out at -0.651 eV per atom. As for the volume: 123 Å³/f.u.

```
data_Li2HoPd5
_chemical_formula_sum 'Li4 Ho2 Pd10'
_symmetry_space_group_name_H-M 'I 4/m m m'
_symmetry_Int_Tables_number 139
_symmetry_space_group_name_Hall '-I 4 2'
_cell_length_a 4.2047
_cell_length_b 4.2047
_cell_length_c 13.9452
_cell_angle_alpha 90.00
_cell_angle_beta 90.00
_cell_angle_gamma 90.00
loop_
_atom_site_label
_atom_site_type_symbol
_atom_site_fract_x
_atom_site_fract_y
_atom_site_fract_z
Li1 Li 0.0000 0.0000 0.2492
Ho1 Ho 0.0000 0.0000 0.0000
Pd1 Pd 0.0000 0.0000 0.5000
Pd2 Pd 0.0000 0.5000 0.1411
```



4.
Here is a relaxed structure of Sc2P2I from Alexandria. Energies are from PBE.

For the total energy, the calculation gives -5.598 eV per atom. For the energy above the most stable polymorph in this dataset, the calculation gives 351.5 meV/atom. The calculation puts the uncorrected formation energy at -0.592 eV/atom. As for the volume: 104 Å³/f.u.

```
data_Sc2P2I
_chemical_formula_sum 'Sc4 P4 I2'
_symmetry_space_group_name_H-M 'P 4/m b m'
_symmetry_Int_Tables_number 127
_symmetry_space_group_name_Hall '-P 4 2ab'
_cell_length_a 7.7559
_cell_length_b 7.7559
_cell_length_c 3.4484
_cell_angle_alpha 90.00
_cell_angle_beta 90.00
_cell_angle_gamma 90.00
loop_
_atom_site_label
_atom_site_type_symbol
_atom_site_fract_x
_atom_site_fract_y
_atom_site_fract_z
Sc1 Sc 0.1649 0.3351 0.0000
P1 P 0.1073 0.6073 0.5000
I1 I 0.0000 0.0000 0.5000
```



5.
Here is a relaxed structure of HgAu2Br from Alexandria. Energies are from PBE.

For the total energy, the calculation gives -1.763 eV per atom. For the energy above the most stable polymorph in this dataset, the calculation gives 352.3 meV/atom. The calculation puts the uncorrected formation energy at 0.369 eV/atom. As for the volume: 88 Å³/f.u.

```
data_HgAu2Br
_chemical_formula_sum 'Hg4 Au8 Br4'
_symmetry_space_group_name_H-M 'F m -3 m'
_symmetry_Int_Tables_number 225
_symmetry_space_group_name_Hall '-F 4 2 3'
_cell_length_a 7.0589
_cell_length_b 7.0589
_cell_length_c 7.0589
_cell_angle_alpha 90.00
_cell_angle_beta 90.00
_cell_angle_gamma 90.00
loop_
_atom_site_label
_atom_site_type_symbol
_atom_site_fract_x
_atom_site_fract_y
_atom_site_fract_z
Hg1 Hg 0.0000 0.0000 0.0000
Au1 Au 0.2500 0.2500 0.2500
Br1 Br 0.0000 0.0000 0.5000
```



6.
Here is a relaxed structure of Tl2CdTeO8 from Alexandria. Energies are from PBE.

For the total energy, the calculation gives -4.675 eV per atom. The calculation puts the uncorrected formation energy at -0.637 eV/atom. As for the volume: 165 Å³/f.u.

```
data_Tl2CdTeO8
_chemical_formula_sum 'Tl2 Cd1 Te1 O8'
_symmetry_space_group_name_H-M 'P 1 2/m 1'
_symmetry_Int_Tables_number 10
_cell_length_a 4.5393
_cell_length_b 6.8374
_cell_length_c 5.3319
_cell_angle_alpha 90.00
_cell_angle_beta 92.29
_cell_angle_gamma 90.00
loop_
_symmetry_equiv_pos_as_xyz
'x,y,z'
'-x,-y,-z'
'-x,y,-z'
'x,-y,z'
loop_
_atom_site_label
_atom_site_type_symbol
_atom_site_fract_x
_atom_site_fract_y
_atom_site_fract_z
Tl1 Tl 0.0000 0.2351 0.0000
Cd1 Cd 0.5000 0.5000 0.5000
Te1 Te 0.5000 0.0000 0.5000
O1 O 0.2623 0.2200 0.3599
O2 O 0.2750 0.0000 0.8069
O3 O 0.3604 0.5000 0.9259
```



7.
Here is a relaxed structure of MnCd2Ag from Alexandria. Energies are from PBE.

For the total energy, the calculation gives -3.272 eV per atom. The energy of formation comes out at 0.191 eV per atom. As for the volume: 77 Å³/f.u.

```
data_MnCd2Ag
_chemical_formula_sum 'Mn3 Cd6 Ag3'
_symmetry_space_group_name_H-M 'R 3 m'
_symmetry_Int_Tables_number 160
_symmetry_space_group_name_Hall 'R 3 -2"'
_cell_length_a 2.9937
_cell_length_b 2.9937
_cell_length_c 29.8028
_cell_angle_alpha 90.00
_cell_angle_beta 90.00
_cell_angle_gamma 120.00
loop_
_atom_site_label
_atom_site_type_symbol
_atom_site_fract_x
_atom_site_fract_y
_atom_site_fract_z
Mn1 Mn 0.0000 0.0000 0.0000
Cd1 Cd 0.0000 0.0000 0.5083
Cd2 Cd 0.0000 0.0000 0.7456
Ag1 Ag 0.0000 0.0000 0.2589
```



8.
Here is a relaxed structure of ErScGaIr from Alexandria. Energies are from PBE.

For the total energy, the calculation gives -6.428 eV per atom. For the energy above the most stable polymorph in this dataset, the calculation gives 3.2 meV/atom. The energy of formation comes out at -0.732 eV per atom. As for the volume: 78 Å³/f.u.

```
data_ErScGaIr
_chemical_formula_sum 'Er4 Sc4 Ga4 Ir4'
_symmetry_space_group_name_H-M 'F -4 3 m'
_symmetry_Int_Tables_number 216
_symmetry_space_group_name_Hall 'F -4 2 3'
_cell_length_a 6.7747
_cell_length_b 6.7747
_cell_length_c 6.7747
_cell_angle_alpha 90.00
_cell_angle_beta 90.00
_cell_angle_gamma 90.00
loop_
_atom_site_label
_atom_site_type_symbol
_atom_site_fract_x
_atom_site_fract_y
_atom_site_fract_z
Er1 Er 0.0000 0.0000 0.0000
Sc1 Sc 0.0000 0.0000 0.5000
Ga1 Ga 0.2500 0.2500 0.7500
Ir1 Ir 0.2500 0.2500 0.2500
```



9.
Here is a relaxed structure of Sr5P3 from Alexandria. Energies are from PBE.

For the total energy, the calculation gives -3.992 eV per atom. The energy of formation comes out at -0.912 eV per atom. As for the volume: 249 Å³/f.u.

```
data_Sr5P3
_chemical_formula_sum 'Sr20 P12'
_symmetry_space_group_name_H-M 'C 1 2/m 1'
_symmetry_Int_Tables_number 12
_cell_length_a 7.4312
_cell_length_b 16.4565
_cell_length_c 8.4262
_cell_angle_alpha 90.00
_cell_angle_beta 104.53
_cell_angle_gamma 90.00
loop_
_symmetry_equiv_pos_as_xyz
'x,y,z'
'-x,-y,-z'
'-x,y,-z'
'x,-y,z'
'x+1/2,y+1/2,z'
'-x+1/2,-y+1/2,-z'
'-x+1/2,y+1/2,-z'
'x+1/2,-y+1/2,z'
loop_
_atom_site_label
_atom_site_type_symbol
_atom_site_fract_x
_atom_site_fract_y
_atom_site_fract_z
Sr1 Sr 0.1928 0.1930 0.2084
Sr2 Sr 0.2333 0.5000 0.9811
Sr3 Sr 0.2438 0.3905 0.3905
P1 P 0.0000 0.2544 0.5000
P2 P 0.0000 0.3427 0.0000
P3 P 0.0597 0.0000 0.2839
```



10.
Here is a relaxed structure of NaZrGe3 from Alexandria. Energies are from PBE.

For the total energy, the calculation gives -3.836 eV per atom. For the energy above the most stable polymorph in this dataset, the calculation gives 757.7 meV/atom. The energy of formation comes out at 0.908 eV per atom. As for the volume: 113 Å³/f.u.

```
data_NaZrGe3
_chemical_formula_sum 'Na1 Zr1 Ge3'
_symmetry_space_group_name_H-M 'P m -3 m'
_symmetry_Int_Tables_number 221
_symmetry_space_group_name_Hall '-P 4 2 3'
_cell_length_a 4.8389
_cell_length_b 4.8389
_cell_length_c 4.8389
_cell_angle_alpha 90.00
_cell_angle_beta 90.00
_cell_angle_gamma 90.00
loop_
_atom_site_label
_atom_site_type_symbol
_atom_site_fract_x
_atom_site_fract_y
_atom_site_fract_z
Na1 Na 0.0000 0.0000 0.0000
Zr1 Zr 0.5000 0.5000 0.5000
Ge1 Ge 0.0000 0.0000 0.5000
```



11.
Here is a relaxed structure of Pr5NdSmHo2 from Alexandria. Energies are from PBE.

For the total energy, the calculation gives -4.583 eV per atom. The energy of formation comes out at 0.144 eV per atom. As for the volume: 319 Å³/f.u.

```
data_Pr5NdSmHo2
_chemical_formula_sum 'Pr20 Nd4 Sm4 Ho8'
_symmetry_space_group_name_H-M 'C m c 21'
_symmetry_Int_Tables_number 36
_cell_length_a 5.7515
_cell_length_b 20.6541
_cell_length_c 10.7271
_cell_angle_alpha 90.00
_cell_angle_beta 90.00
_cell_angle_gamma 90.00
loop_
_symmetry_equiv_pos_as_xyz
'x,y,z'
'-x,-y,z+1/2'
'-x,y,z'
'x,-y,z+1/2'
'x+1/2,y+1/2,z'
'-x+1/2,-y+1/2,z+1/2'
'-x+1/2,y+1/2,z'
'x+1/2,-y+1/2,z+1/2'
loop_
_atom_site_label
_atom_site_type_symbol
_atom_site_fract_x
_atom_site_fract_y
_atom_site_fract_z
Pr1 Pr 0.0000 0.0162 0.0000
Pr2 Pr 0.0000 0.2802 0.2897
Pr3 Pr 0.0000 0.2956 0.6828
Pr4 Pr 0.0000 0.3892 0.0040
Pr5 Pr 0.0000 0.4779 0.7201
Nd1 Nd 0.0000 0.4119 0.4298
Sm1 Sm 0.0000 0.1993 0.9885
Ho1 Ho 0.0000 0.1126 0.7133
Ho2 Ho 0.0000 0.1173 0.2986
```



12.
Here is a relaxed structure of PrNdScHg from Alexandria. Energies are from PBE.

For the total energy, the calculation gives -4.138 eV per atom. The energy of formation comes out at -0.093 eV per atom. As for the volume: 115 Å³/f.u.

```
data_PrNdScHg
_chemical_formula_sum 'Pr4 Nd4 Sc4 Hg4'
_symmetry_space_group_name_H-M 'F -4 3 m'
_symmetry_Int_Tables_number 216
_symmetry_space_group_name_Hall 'F -4 2 3'
_cell_length_a 7.7253
_cell_length_b 7.7253
_cell_length_c 7.7253
_cell_angle_alpha 90.00
_cell_angle_beta 90.00
_cell_angle_gamma 90.00
loop_
_atom_site_label
_atom_site_type_symbol
_atom_site_fract_x
_atom_site_fract_y
_atom_site_fract_z
Pr1 Pr 0.0000 0.0000 0.0000
Nd1 Nd 0.0000 0.0000 0.5000
Sc1 Sc 0.2500 0.2500 0.2500
Hg1 Hg 0.2500 0.2500 0.7500
```